{
  "formula": "NdTc2PbO8",
  "functional": "PBE-GGA",
  "state": "relaxed",
  "lattice_angstrom": [[-0.695, -0.572, -5.969], [5.538, 0.390, 2.370], [0.223, -7.219, 0.665]],
  "species": ["O", "O", "O", "O", "O", "O", "O", "O", "Nd", "Tc", "Tc", "Pb"],
  "frac_coords": [[0.333, 0.166, 0.280], [0.667, 0.834, 0.720], [0.166, 0.333, 0.720], [0.834, 0.166, 0.280], [0.166, 0.834, 0.720], [0.333, 0.667, 0.040], [0.667, 0.333, 0.960], [0.834, 0.667, 0.280], [0.000, 0.000, 0.500], [0.333, 0.667, 0.797], [0.667, 0.333, 0.203], [0.000, 0.000, 0.000]],
  "formation_energy_uncorrected_ev_per_fu": -20.00,
  "dos_at_fermi_per_ev_cell": 8.5
}